Entry 1:
# LaCeCo10

A relaxed structure of LaCeCo10 (PBEsol, Alexandria via LeMat-Bulk).

Lattice parameters (Å, degrees): 3.949 4.838 8.447 90.00 90.00 90.00
Positions (direct):
La: 0.000 0.000 0.000
Ce: 0.000 0.500 0.500
Co: 0.000 0.000 0.341
Co: 0.000 0.000 0.659
Co: 0.000 0.500 0.192
Co: 0.000 0.500 0.808
Co: 0.500 0.000 0.500
Co: 0.500 0.248 0.252
Co: 0.500 0.248 0.748
Co: 0.500 0.500 0.000
Co: 0.500 0.752 0.252
Co: 0.500 0.752 0.748

Output
M_tot	12.3	μB/cell
theoretical density	8.93	Mg/m³
total energy	-7.48	eV/atom
D(E_F)	1.4983	states/eV/atom

---

Entry 2:
# Ce2MgCo9

A relaxed structure of Ce2MgCo9 (PBEsol, Alexandria via LeMat-Bulk).

Lattice parameters (Å, degrees): 8.359 8.359 8.359 33.63 33.63 33.63
Positions (direct):
Ce: 0.000 0.000 0.000
Ce: 0.142 0.142 0.142
Mg: 0.278 0.278 0.278
Co: 0.058 0.553 0.553
Co: 0.218 0.723 0.723
Co: 0.472 0.472 0.472
Co: 0.553 0.058 0.553
Co: 0.553 0.553 0.058
Co: 0.636 0.636 0.636
Co: 0.723 0.218 0.723
Co: 0.723 0.723 0.218
Co: 0.803 0.803 0.803

Output
M_tot	8.7	μB/cell
theoretical density	8.69	Mg/m³
total energy	-7.16	eV/atom
D(E_F)	1.4108	states/eV/atom

---

Entry 3:
# Ce2Co12P7

A relaxed structure of Ce2Co12P7 (PBEsol, Alexandria via LeMat-Bulk).

Lattice parameters (Å, degrees): 8.942 8.942 3.563 90.00 90.00 120.00
Positions (direct):
Ce: 0.000 0.000 0.000
Ce: 0.333 0.667 0.500
Co: 0.042 0.770 0.500
Co: 0.102 0.389 0.000
Co: 0.230 0.272 0.500
Co: 0.287 0.898 0.000
Co: 0.433 0.227 0.000
Co: 0.516 0.062 0.500
Co: 0.545 0.484 0.500
Co: 0.611 0.713 0.000
Co: 0.728 0.958 0.500
Co: 0.773 0.205 0.000
Co: 0.795 0.567 0.000
Co: 0.938 0.455 0.500
P: 0.064 0.626 0.000
P: 0.267 0.042 0.500
P: 0.374 0.438 0.000
P: 0.562 0.936 0.000
P: 0.667 0.333 0.500
P: 0.775 0.733 0.500
P: 0.958 0.225 0.500

Output
M_tot	3.7	μB/cell
theoretical density	8.10	Mg/m³
total energy	-7.84	eV/atom
D(E_F)	0.8653	states/eV/atom

---

Entry 4:
# CeCoSb2

A relaxed structure of CeCoSb2 (PBEsol, Alexandria via LeMat-Bulk).

Lattice parameters (Å, degrees): 4.311 4.311 9.354 90.00 90.00 90.00
Positions (direct):
Ce: 0.250 0.250 0.233
Ce: 0.750 0.750 0.767
Co: 0.250 0.750 0.000
Co: 0.750 0.250 0.000
Sb: 0.250 0.250 0.855
Sb: 0.250 0.750 0.500
Sb: 0.750 0.250 0.500
Sb: 0.750 0.750 0.145

Output
M_tot	1.8	μB/cell
theoretical density	8.45	Mg/m³
total energy	-6.51	eV/atom
ΔE_f (raw)	-0.647	eV per atom
D(E_F)	0.7989	states/eV/atom

---

Entry 5:
# CeCoSb3

A relaxed structure of CeCoSb3 (PBEsol, Alexandria via LeMat-Bulk).

Lattice parameters (Å, degrees): 12.258 6.093 11.978 90.00 90.00 90.00
Positions (direct):
Ce: 0.198 0.225 0.250
Ce: 0.198 0.275 0.750
Ce: 0.200 0.750 0.000
Ce: 0.200 0.750 0.500
Ce: 0.800 0.250 0.000
Ce: 0.800 0.250 0.500
Ce: 0.802 0.725 0.250
Ce: 0.802 0.775 0.750
Co: 0.398 0.037 0.636
Co: 0.398 0.037 0.864
Co: 0.398 0.463 0.136
Co: 0.398 0.463 0.364
Co: 0.602 0.537 0.636
Co: 0.602 0.537 0.864
Co: 0.602 0.963 0.136
Co: 0.602 0.963 0.364
Sb: 0.003 0.017 0.624
Sb: 0.003 0.017 0.876
Sb: 0.003 0.483 0.124
Sb: 0.003 0.483 0.376
Sb: 0.273 0.250 0.000
Sb: 0.273 0.250 0.500
Sb: 0.276 0.730 0.250
Sb: 0.276 0.770 0.750
Sb: 0.444 0.115 0.250
Sb: 0.444 0.385 0.750
Sb: 0.471 0.750 0.000
Sb: 0.471 0.750 0.500
Sb: 0.529 0.250 0.000
Sb: 0.529 0.250 0.500
Sb: 0.556 0.615 0.250
Sb: 0.556 0.885 0.750
Sb: 0.724 0.230 0.250
Sb: 0.724 0.270 0.750
Sb: 0.727 0.750 0.000
Sb: 0.727 0.750 0.500
Sb: 0.997 0.517 0.624
Sb: 0.997 0.517 0.876
Sb: 0.997 0.983 0.124
Sb: 0.997 0.983 0.376

Output
M_tot	2.5	μB/cell
theoretical density	8.38	Mg/m³
total energy	-6.19	eV/atom
ΔE_f (raw)	-0.586	eV per atom
D(E_F)	0.9696	states/eV/atom

---

Entry 6:
# CeCoSi

A relaxed structure of CeCoSi (PBEsol, Alexandria via LeMat-Bulk).

Lattice parameters (Å, degrees): 3.947 3.947 6.682 90.00 90.00 90.00
Positions (direct):
Ce: 0.250 0.250 0.174
Ce: 0.750 0.750 0.826
Co: 0.250 0.750 0.500
Co: 0.750 0.250 0.500
Si: 0.250 0.250 0.679
Si: 0.750 0.750 0.321

Output
M_tot	2.4	μB/cell
theoretical density	7.25	Mg/m³
total energy	-7.36	eV/atom
ΔE_f (raw)	-0.668	eV per atom
D(E_F)	1.5072	states/eV/atom

---

Entry 7:
# Ce2VCo16

A relaxed structure of Ce2VCo16 (PBEsol, Alexandria via LeMat-Bulk).

Lattice parameters (Å, degrees): 8.154 8.154 7.988 90.00 90.00 120.00
Positions (direct):
Ce: 0.000 0.000 0.246
Ce: 0.000 0.000 0.754
Ce: 0.333 0.667 0.739
Ce: 0.667 0.333 0.261
V: 0.333 0.667 0.113
V: 0.667 0.333 0.887
Co: 0.000 0.500 0.000
Co: 0.000 0.500 0.500
Co: 0.044 0.371 0.250
Co: 0.044 0.672 0.250
Co: 0.167 0.333 0.519
Co: 0.167 0.833 0.519
Co: 0.169 0.338 0.974
Co: 0.169 0.831 0.974
Co: 0.328 0.371 0.250
Co: 0.328 0.956 0.250
Co: 0.333 0.167 0.481
Co: 0.333 0.667 0.390
Co: 0.338 0.169 0.026
Co: 0.371 0.044 0.750
Co: 0.371 0.328 0.750
Co: 0.500 0.000 0.000
Co: 0.500 0.000 0.500
Co: 0.500 0.500 0.000
Co: 0.500 0.500 0.500
Co: 0.629 0.672 0.250
Co: 0.629 0.956 0.250
Co: 0.662 0.831 0.974
Co: 0.667 0.333 0.610
Co: 0.667 0.833 0.519
Co: 0.672 0.044 0.750
Co: 0.672 0.629 0.750
Co: 0.831 0.169 0.026
Co: 0.831 0.662 0.026
Co: 0.833 0.167 0.481
Co: 0.833 0.667 0.481
Co: 0.956 0.328 0.750
Co: 0.956 0.629 0.750

Output
M_tot	34.6	μB/cell
theoretical density	9.20	Mg/m³
total energy	-7.80	eV/atom
D(E_F)	1.4066	states/eV/atom

---

Entry 8:
# CeYCo4

A relaxed structure of CeYCo4 (PBEsol, Alexandria via LeMat-Bulk).

Lattice parameters (Å, degrees): 4.929 4.929 4.929 60.00 60.00 60.00
Positions (direct):
Ce: 0.000 0.000 0.000
Y: 0.750 0.750 0.750
Co: 0.375 0.375 0.375
Co: 0.375 0.375 0.875
Co: 0.375 0.875 0.375
Co: 0.875 0.375 0.375

Output
M_tot	0.0	μB/cell
theoretical density	9.11	Mg/m³
total energy	-7.60	eV/atom
D(E_F)	1.1700	states/eV/atom